(1)
Density functional theory data (PBE-GGA) for an optimized crystal structure of ZrAl6Ni.

```
ZrAl6Ni
1.0
3.9485 0.0000 0.0000
0.0000 3.9485 0.0000
0.0000 0.0000 8.7942
Zr Al Ni
1 6 1
direct
0.0000 0.0000 0.0000
0.0000 0.5000 0.3387
0.0000 0.5000 0.6613
0.5000 0.0000 0.3387
0.5000 0.0000 0.6613
0.5000 0.5000 0.1385
0.5000 0.5000 0.8615
0.0000 0.0000 0.5000
```

Summary:
Crystal system = tetragonal

(2)
Density functional theory data (PBE-GGA) for an optimized crystal structure of ZrAl6Ni.

```
ZrAl6Ni
1.0
3.6530 0.0000 0.0000
0.0000 3.6530 0.0000
0.0000 0.0000 11.1324
Zr Al Ni
1 6 1
direct
0.0000 0.0000 0.0000
0.0000 0.5000 0.2017
0.0000 0.5000 0.7983
0.5000 0.0000 0.2017
0.5000 0.0000 0.7983
0.5000 0.5000 0.3875
0.5000 0.5000 0.6125
0.0000 0.0000 0.5000
```

Summary:
Crystal system = tetragonal

Stability check: which of them is least stable? (2).

(1)
Density functional theory data (PBE-GGA) for an optimized crystal structure of Zr3AlNi3.

```
Zr3AlNi3
1.0
3.9561 0.0000 0.0000
0.0000 6.5030 0.0000
0.0000 0.0000 9.5161
Zr Al Ni
6 2 6
direct
0.2500 0.0033 0.1398
0.2500 0.2500 0.6411
0.2500 0.4967 0.1398
0.7500 0.5033 0.8602
0.7500 0.7500 0.3589
0.7500 0.9967 0.8602
0.2500 0.7500 0.6270
0.7500 0.2500 0.3730
0.2500 0.0212 0.4129
0.2500 0.2500 0.9246
0.2500 0.4788 0.4129
0.7500 0.5212 0.5871
0.7500 0.7500 0.0754
0.7500 0.9788 0.5871
```

Summary:
Crystal system = orthorhombic

(2)
Density functional theory data (PBE-GGA) for an optimized crystal structure of Zr3AlNi3.

```
Zr3AlNi3
1.0
7.8790 0.0000 0.0000
-3.9395 6.8234 0.0000
0.0000 0.0000 4.6975
Zr Al Ni
6 2 6
direct
0.0065 0.7412 0.2500
0.2588 0.2653 0.2500
0.2653 0.0065 0.7500
0.7347 0.9935 0.2500
0.7412 0.7347 0.7500
0.9935 0.2588 0.7500
0.3333 0.6667 0.7500
0.6667 0.3333 0.2500
0.0034 0.4038 0.2500
0.4004 0.9966 0.2500
0.4038 0.4004 0.7500
0.5962 0.5996 0.2500
0.5996 0.0034 0.7500
0.9966 0.5962 0.7500
```

Summary:
Crystal system = hexagonal

Stability check: which of them is least stable? (2).

(1)
Density functional theory data (PBE-GGA) for an optimized crystal structure of NpPa2Al.

```
NpPa2Al
1.0
3.6801 0.0000 0.0000
0.0000 3.6801 0.0000
0.0000 0.0000 6.4921
Np Pa Al
1 2 1
direct
0.0000 0.0000 0.0000
0.5000 0.5000 0.2425
0.5000 0.5000 0.7575
0.0000 0.0000 0.5000
```

Summary:
Crystal system = tetragonal

(2)
Density functional theory data (PBE-GGA) for an optimized crystal structure of NpPa2Al.

```
NpPa2Al
1.0
4.6093 0.0000 0.0000
0.0000 4.6093 0.0000
0.0000 0.0000 4.1829
Np Pa Al
1 2 1
direct
0.0000 0.0000 0.0000
0.0000 0.5000 0.5000
0.5000 0.0000 0.5000
0.5000 0.5000 0.0000
```

Summary:
Crystal system = tetragonal

(3)
Density functional theory data (PBE-GGA) for an optimized crystal structure of NpPa2Al.

```
NpPa2Al
1.0
3.5814 0.0000 0.0000
-1.7907 3.1015 0.0000
0.0000 0.0000 24.2592
Np Pa Al
3 6 3
direct
0.0000 0.0000 0.0000
0.3333 0.6667 0.6667
0.6667 0.3333 0.3333
0.0000 0.0000 0.2646
0.0000 0.0000 0.7354
0.3333 0.6667 0.4021
0.3333 0.6667 0.9312
0.6667 0.3333 0.0688
0.6667 0.3333 0.5979
0.0000 0.0000 0.5000
0.3333 0.6667 0.1667
0.6667 0.3333 0.8333
```

Summary:
Crystal system = trigonal

Stability check: which of them is least stable? (3).

(1)
Density functional theory data (PBE-GGA) for an optimized crystal structure of PuNpAl.

```
PuNpAl
1.0
4.9247 0.0000 0.0000
-2.4623 4.2649 0.0000
0.0000 0.0000 2.4323
Pu Np Al
1 1 1
direct
0.0000 0.0000 0.0000
0.3333 0.6667 0.2641
0.6667 0.3333 0.6366
```

Summary:
Crystal system = trigonal

(2)
Density functional theory data (PBE-GGA) for an optimized crystal structure of PuNpAl.

```
PuNpAl
1.0
16.1213 0.0000 0.0000
0.0000 2.6027 0.0000
-0.0165 0.0000 5.2983
Pu Np Al
4 4 4
direct
0.1966 0.0000 0.3186
0.3034 0.5000 0.6814
0.6966 0.5000 0.3186
0.8034 0.0000 0.6814
0.0488 0.0000 0.3144
0.4512 0.5000 0.6856
0.5488 0.5000 0.3144
0.9512 0.0000 0.6856
0.1338 0.0000 0.8190
0.3662 0.5000 0.1810
0.6338 0.5000 0.8190
0.8662 0.0000 0.1810
```

Summary:
Crystal system = monoclinic

(3)
Density functional theory data (PBE-GGA) for an optimized crystal structure of PuNpAl.

```
PuNpAl
1.0
3.3431 0.0000 0.0000
0.0000 3.3431 0.0000
0.0000 0.0000 9.8195
Pu Np Al
2 2 2
direct
0.0000 0.0000 0.0000
0.5000 0.5000 0.5000
0.0000 0.0000 0.5945
0.5000 0.5000 0.0945
0.0000 0.0000 0.2981
0.5000 0.5000 0.7981
```

Summary:
Crystal system = tetragonal

Stability check: which of them is least stable? (2).

(1)
Density functional theory data (PBE-GGA) for an optimized crystal structure of NpAlRe.

```
NpAlRe
1.0
2.7584 0.0000 0.0000
0.0000 4.4568 0.0000
-0.6982 0.0000 7.8366
Np Al Re
2 2 2
direct
0.0092 0.2500 0.0816
0.9908 0.7500 0.9184
0.4483 0.2500 0.7315
0.5517 0.7500 0.2685
0.2111 0.7500 0.5686
0.7889 0.2500 0.4314
```

Summary:
Crystal system = monoclinic

(2)
Density functional theory data (PBE-GGA) for an optimized crystal structure of NpAlRe.

```
NpAlRe
1.0
3.1275 0.0000 0.0000
0.0000 3.1275 0.0000
0.0000 0.0000 11.2570
Np Al Re
2 2 2
direct
0.0000 0.0000 0.0000
0.5000 0.5000 0.5000
0.0000 0.0000 0.7112
0.5000 0.5000 0.2112
0.0000 0.0000 0.3405
0.5000 0.5000 0.8405
```

Summary:
Crystal system = tetragonal

Stability check: which of them is least stable? (2).

(1)
Density functional theory data (PBE-GGA) for an optimized crystal structure of NpSc2Al.

```
NpSc2Al
1.0
7.0622 0.0000 0.0000
0.0000 7.0622 0.0000
0.0000 0.0000 7.0622
Np Sc Al
4 8 4
direct
0.0000 0.0000 0.0000
0.0000 0.5000 0.5000
0.5000 0.0000 0.5000
0.5000 0.5000 0.0000
0.2500 0.2500 0.2500
0.2500 0.2500 0.7500
0.2500 0.7500 0.2500
0.2500 0.7500 0.7500
0.7500 0.2500 0.2500
0.7500 0.2500 0.7500
0.7500 0.7500 0.2500
0.7500 0.7500 0.7500
0.0000 0.0000 0.5000
0.0000 0.5000 0.0000
0.5000 0.0000 0.0000
0.5000 0.5000 0.5000
```

Summary:
Crystal system = cubic

(2)
Density functional theory data (PBE-GGA) for an optimized crystal structure of NpSc2Al.

```
NpSc2Al
1.0
3.1225 0.0000 0.0000
0.0000 3.1225 0.0000
0.0000 0.0000 8.6549
Np Sc Al
1 2 1
direct
0.0000 0.0000 0.0000
0.5000 0.5000 0.2713
0.5000 0.5000 0.7287
0.0000 0.0000 0.5000
```

Summary:
Crystal system = tetragonal

Stability check: which of them is least stable? (1).

(1)
Density functional theory data (PBE-GGA) for an optimized crystal structure of NpAlV2.

```
NpAlV2
1.0
3.2107 0.0000 0.0000
0.0000 3.2107 0.0000
0.0000 0.0000 6.1051
Np Al V
1 1 2
direct
0.0000 0.0000 0.0000
0.0000 0.0000 0.5000
0.5000 0.5000 0.2276
0.5000 0.5000 0.7724
```

Summary:
Crystal system = tetragonal

(2)
Density functional theory data (PBE-GGA) for an optimized crystal structure of NpAlV2.

```
NpAlV2
1.0
3.0418 0.0000 0.0000
-1.5209 2.6343 0.0000
0.0000 0.0000 24.1956
Np Al V
3 3 6
direct
0.0000 0.0000 0.0000
0.3333 0.6667 0.6667
0.6667 0.3333 0.3333
0.0000 0.0000 0.5000
0.3333 0.6667 0.1667
0.6667 0.3333 0.8333
0.0000 0.0000 0.2536
0.0000 0.0000 0.7464
0.3333 0.6667 0.4130
0.3333 0.6667 0.9203
0.6667 0.3333 0.0797
0.6667 0.3333 0.5870
```

Summary:
Crystal system = trigonal

(3)
Density functional theory data (PBE-GGA) for an optimized crystal structure of NpAlV2.

```
NpAlV2
1.0
4.3948 0.0000 0.0000
0.0000 4.3948 0.0000
0.0000 0.0000 3.2218
Np Al V
1 1 2
direct
0.0000 0.0000 0.0000
0.5000 0.5000 0.0000
0.0000 0.5000 0.5000
0.5000 0.0000 0.5000
```

Summary:
Crystal system = tetragonal

(4)
Density functional theory data (PBE-GGA) for an optimized crystal structure of NpAlV2.

```
NpAlV2
1.0
6.3010 0.0000 0.0000
0.0000 6.3010 0.0000
0.0000 0.0000 6.3010
Np Al V
4 4 8
direct
0.0000 0.0000 0.0000
0.0000 0.5000 0.5000
0.5000 0.0000 0.5000
0.5000 0.5000 0.0000
0.0000 0.0000 0.5000
0.0000 0.5000 0.0000
0.5000 0.0000 0.0000
0.5000 0.5000 0.5000
0.2500 0.2500 0.2500
0.2500 0.2500 0.7500
0.2500 0.7500 0.2500
0.2500 0.7500 0.7500
0.7500 0.2500 0.2500
0.7500 0.2500 0.7500
0.7500 0.7500 0.2500
0.7500 0.7500 0.7500
```

Summary:
Crystal system = cubic

Stability check: which of them is least stable? (2).

(1)
Density functional theory data (PBE-GGA) for an optimized crystal structure of NpAlV.

```
NpAlV
1.0
2.6084 0.0000 0.0000
0.0000 2.6084 0.0000
0.0000 0.0000 14.0263
Np Al V
2 2 2
direct
0.0000 0.0000 0.0000
0.5000 0.5000 0.5000
0.0000 0.0000 0.6768
0.5000 0.5000 0.1768
0.0000 0.0000 0.3218
0.5000 0.5000 0.8218
```

Summary:
Crystal system = tetragonal

(2)
Density functional theory data (PBE-GGA) for an optimized crystal structure of NpAlV.

```
NpAlV
1.0
2.6562 0.0000 0.0000
0.0000 16.2236 0.0000
0.0000 0.0000 4.5051
Np Al V
4 4 4
direct
0.0000 0.2244 0.2500
0.0000 0.7756 0.7500
0.5000 0.2756 0.7500
0.5000 0.7244 0.2500
0.0000 0.0997 0.7500
0.0000 0.9003 0.2500
0.5000 0.4003 0.2500
0.5000 0.5997 0.7500
0.0000 0.4536 0.7500
0.0000 0.5464 0.2500
0.5000 0.0464 0.2500
0.5000 0.9536 0.7500
```

Summary:
Crystal system = orthorhombic

Stability check: which of them is least stable? (1).

(1)
Density functional theory data (PBE-GGA) for an optimized crystal structure of Zr2NpAl.

```
Zr2NpAl
1.0
6.9888 0.0000 0.0000
0.0000 6.9888 0.0000
0.0000 0.0000 6.9888
Zr Np Al
8 4 4
direct
0.2500 0.2500 0.2500
0.2500 0.2500 0.7500
0.2500 0.7500 0.2500
0.2500 0.7500 0.7500
0.7500 0.2500 0.2500
0.7500 0.2500 0.7500
0.7500 0.7500 0.2500
0.7500 0.7500 0.7500
0.0000 0.0000 0.0000
0.0000 0.5000 0.5000
0.5000 0.0000 0.5000
0.5000 0.5000 0.0000
0.0000 0.0000 0.5000
0.0000 0.5000 0.0000
0.5000 0.0000 0.0000
0.5000 0.5000 0.5000
```

Summary:
Crystal system = cubic

(2)
Density functional theory data (PBE-GGA) for an optimized crystal structure of Zr2NpAl.

```
Zr2NpAl
1.0
3.0032 0.0000 0.0000
0.0000 3.0032 0.0000
0.0000 0.0000 9.3304
Zr Np Al
2 1 1
direct
0.0000 0.0000 0.2245
0.0000 0.0000 0.7755
0.5000 0.5000 0.5000
0.5000 0.5000 0.0000
```

Summary:
Crystal system = tetragonal

Stability check: which of them is least stable? (1).

(1)
Density functional theory data (PBE-GGA) for an optimized crystal structure of AlP2OsO.

```
AlP2OsO
1.0
4.7820 0.0000 0.0000
0.0000 4.7820 0.0000
0.0000 0.0000 3.2651
Al P Os O
1 2 1 1
direct
0.0000 0.0000 0.0000
0.0000 0.5000 0.0000
0.5000 0.0000 0.0000
0.5000 0.5000 0.5000
0.0000 0.0000 0.5000
```

Summary:
Crystal system = tetragonal

(2)
Density functional theory data (PBE-GGA) for an optimized crystal structure of AlP2OsO.

```
AlP2OsO
1.0
4.8084 0.0000 0.0000
0.0000 4.8084 0.0000
0.0000 0.0000 3.6602
Al P Os O
1 2 1 1
direct
0.0000 0.0000 0.0000
0.0000 0.5000 0.5000
0.5000 0.0000 0.5000
0.5000 0.5000 0.5000
0.5000 0.5000 0.0000
```

Summary:
Crystal system = tetragonal

Stability check: which of them is least stable? (1).